Below is crystalline Pu8HPt5 at its relaxed geometry, with properties calculated at the PBE level.

Results
Total magnetic moment: 0.36 μB per formula unit
E_tot: -11.074 eV/atom

Cell: 7.426 7.426 7.426 Å, 110.94 110.94 106.57°
Element x y z (fractional)
Pu  0.102  0.749  0.782
Pu  0.147  0.265  0.753
Pu  0.251  0.033  0.353
Pu  0.512  0.394  0.247
Pu  0.606  0.853  0.118
Pu  0.680  0.898  0.647
Pu  0.735  0.488  0.882
Pu  0.967  0.320  0.218
H  0.000  0.000  0.000
Pt  0.247  0.630  0.163
Pt  0.370  0.533  0.617
Pt  0.467  0.084  0.837
Pt  0.750  0.250  0.500
Pt  0.916  0.753  0.383


Below is crystalline SiBiTeN2 at its relaxed geometry, with properties calculated at the PBE level.

Results
Total magnetic moment: 0.77 μB per formula unit
E_tot: -4.742 eV/atom

Cell: 4.033 4.033 5.279 Å, 90.00 90.00 90.00°
Element x y z (fractional)
Si  0.000  0.000  0.000
Bi  0.500  0.500  0.500
Te  0.000  0.000  0.500
N  0.000  0.500  0.000
N  0.500  0.000  0.000


Below is crystalline HfFe2Si2 at its relaxed geometry, with properties calculated at the PBE level.

Results
Total magnetic moment: 1.12 μB per formula unit
E_tot: -8.205 eV/atom

Cell: 7.427 7.032 5.018 Å, 90.00 90.00 90.00°
Element x y z (fractional)
Hf  0.249  0.094  0.250
Hf  0.249  0.406  0.750
Hf  0.751  0.594  0.250
Hf  0.751  0.906  0.750
Fe  0.108  0.017  0.750
Fe  0.108  0.483  0.250
Fe  0.390  0.750  0.000
Fe  0.390  0.750  0.500
Fe  0.610  0.250  0.000
Fe  0.610  0.250  0.500
Fe  0.892  0.517  0.750
Fe  0.892  0.983  0.250
Si  0.056  0.750  0.000
Si  0.056  0.750  0.500
Si  0.414  0.049  0.750
Si  0.414  0.451  0.250
Si  0.586  0.549  0.750
Si  0.586  0.951  0.250
Si  0.944  0.250  0.000
Si  0.944  0.250  0.500


Below is crystalline PuNpTeN2 at its relaxed geometry, with properties calculated at the PBE level.

Results
Total magnetic moment: 2.38 μB per formula unit
E_tot: -10.561 eV/atom

Cell: 6.911 6.911 6.911 Å, 147.51 147.51 46.61°
Element x y z (fractional)
Pu  0.000  0.000  0.000
Np  0.321  0.321  0.000
Te  0.657  0.657  0.000
N  0.401  0.901  0.500
N  0.901  0.401  0.500


Below is crystalline AgGeTe3 at its relaxed geometry, with properties calculated at the PBE level.

Results
Total magnetic moment: 0.00 μB per formula unit
E_tot: -2.823 eV/atom

Cell: 5.434 5.434 5.434 Å, 90.00 90.00 90.00°
Element x y z (fractional)
Ag  0.000  0.000  0.000
Ge  0.500  0.500  0.500
Te  0.000  0.500  0.500
Te  0.500  0.000  0.500
Te  0.500  0.500  0.000


Below is crystalline CsBaCd2Te at its relaxed geometry, with properties calculated at the PBE level.

Results
Total magnetic moment: 0.00 μB per formula unit
E_tot: -1.200 eV/atom

Cell: 6.372 6.372 7.995 Å, 90.00 90.00 90.00°
Element x y z (fractional)
Cs  0.000  0.000  0.000
Ba  0.000  0.000  0.500
Cd  0.000  0.500  0.500
Cd  0.500  0.000  0.500
Te  0.500  0.500  0.000


Below is crystalline GdScSn at its relaxed geometry, with properties calculated at the PBE level.

Results
Total magnetic moment: 8.83 μB per formula unit
Formation enthalpy at 0 K: -0.44 eV per atom

Cell: 5.835 5.835 5.835 Å, 140.98 140.98 56.37°
Element x y z (fractional)
Gd  0.000  0.000  0.000
Sc  0.313  0.313  0.000
Sn  0.673  0.673  0.000


Below is crystalline MgNi4Pd at its relaxed geometry, with properties calculated at the PBE level.

Results
Total magnetic moment: 1.09 μB per formula unit
Formation enthalpy at 0 K: -0.13 eV per atom

Cell: 4.765 4.765 4.765 Å, 60.00 60.00 60.00°
Element x y z (fractional)
Mg  0.000  0.000  0.000
Ni  0.125  0.625  0.625
Ni  0.625  0.125  0.625
Ni  0.625  0.625  0.125
Ni  0.625  0.625  0.625
Pd  0.250  0.250  0.250


Please write out number 4 again, unchanged.
Below is crystalline PuNpTeN2 at its relaxed geometry, with properties calculated at the PBE level.

Results
Total magnetic moment: 2.38 μB per formula unit
E_tot: -10.561 eV/atom

Cell: 6.911 6.911 6.911 Å, 147.51 147.51 46.61°
Element x y z (fractional)
Pu  0.000  0.000  0.000
Np  0.321  0.321  0.000
Te  0.657  0.657  0.000
N  0.401  0.901  0.500
N  0.901  0.401  0.500